Below is an optimized crystal structure of SrAsRh2, with properties calculated at the GGA-PBEsol level.

Geometry as CIF:
```
data_SrAsRh2
_cell_length_a 4.2308
_cell_length_b 4.2308
_cell_length_c 15.8397
_cell_angle_alpha 90.00
_cell_angle_beta 90.00
_cell_angle_gamma 120.00
_symmetry_space_group_name_H-M 'R -3 m'
_symmetry_Int_Tables_number 166
_symmetry_space_group_name_Hall '-R 3 2"'
loop_
_atom_site_label
_atom_site_type_symbol
_atom_site_fract_x
_atom_site_fract_y
_atom_site_fract_z
_atom_site_occupancy
Sr1 Sr 0.0000 0.0000 0.0000 1
As1 As 0.0000 0.0000 0.5000 1
Rh1 Rh 0.0000 0.0000 0.1980 1
```

E_form, kJ/mol of atoms: -51.0
Crystal system: trigonal